# 1
Material: NiTe2AsN
Method: DFT, PBE-GGA
State: optimized geometry Values from VASP.

```
&SYSTEM
  ibrav = 0, nat = 5, ntyp = 4
/
ATOMIC_SPECIES
N 14.01 N.upf
Te 127.60 Te.upf
Ni 58.69 Ni.upf
As 74.92 As.upf
CELL_PARAMETERS angstrom
5.3100 0.0000 0.0000
0.0000 5.3100 0.0000
0.0000 0.0000 3.4755
ATOMIC_POSITIONS angstrom
N 0.0000 0.0000 1.7378
Te 0.0000 2.6550 0.0000
Te 2.6550 0.0000 0.0000
Ni 0.0000 0.0000 0.0000
As 2.6550 2.6550 1.7378
```

Output
- Space-group type: No. 123
- D(E_F): 3.64 states/eV per cell
- Calculated total energy: -0.32885 Ry per atom
- Energy relative to the elements, uncorrected: 0.534 eV per atom


# 2
Material: NiTe2AsN
Method: DFT, PBE-GGA
State: optimized geometry Values from VASP.

```
&SYSTEM
  ibrav = 0, nat = 5, ntyp = 4
/
ATOMIC_SPECIES
Te 127.60 Te.upf
N 14.01 N.upf
As 74.92 As.upf
Ni 58.69 Ni.upf
CELL_PARAMETERS angstrom
-2.4394 -3.5915 -3.3708
2.3494 -4.1545 2.7263
-2.7873 -0.1487 2.1755
ATOMIC_POSITIONS angstrom
Te -1.2197 -1.7958 -1.6854
Te 1.1747 -2.0773 1.3631
N -1.3937 -0.0743 1.0878
As 0.0000 0.0000 0.0000
Ni -1.4387 -3.9473 0.7655
```

Output
- Space-group type: No. 123
- D(E_F): 3.58 states/eV per cell
- Calculated total energy: -0.29073 Ry per atom
- Energy relative to the elements, uncorrected: 1.052 eV per atom


# 3
Material: ThNi2AsN
Method: DFT, PBE-GGA
State: optimized geometry Values from VASP.

```
&SYSTEM
  ibrav = 0, nat = 10, ntyp = 4
/
ATOMIC_SPECIES
N 14.01 N.upf
As 74.92 As.upf
Ni 58.69 Ni.upf
Th 232.04 Th.upf
CELL_PARAMETERS angstrom
3.6357 0.0000 0.0000
-1.8178 5.7588 0.0000
0.0000 0.0000 6.9069
ATOMIC_POSITIONS angstrom
N 0.0000 0.0000 0.0000
N 0.0000 0.0000 3.4535
As 1.8178 2.7166 5.1802
As 0.0000 3.0422 1.7267
Ni 1.8178 3.7906 0.3853
Ni 1.8178 3.7906 3.0681
Ni 0.0000 1.9682 6.5216
Ni 0.0000 1.9682 3.8388
Th 0.0000 5.3576 5.1802
Th 1.8178 0.4012 1.7267
```

Output
- Space-group type: No. 63
- D(E_F): 5.31 states/eV per cell
- Calculated total energy: -0.53414 Ry per atom
- Energy relative to the elements, uncorrected: -0.876 eV per atom


# 4
Material: ThNiAsN
Method: DFT, PBE-GGA
State: optimized geometry Values from VASP.

```
&SYSTEM
  ibrav = 0, nat = 8, ntyp = 4
/
ATOMIC_SPECIES
N 14.01 N.upf
As 74.92 As.upf
Ni 58.69 Ni.upf
Th 232.04 Th.upf
CELL_PARAMETERS angstrom
-1.2344 -0.5625 3.8857
1.0137 -3.9807 -0.2542
7.5035 1.7425 2.6359
ATOMIC_POSITIONS angstrom
N 3.7517 0.8712 1.3180
N 3.6414 -1.4004 3.1337
As 0.4487 -0.0337 2.3173
As 6.9445 -0.4954 2.1344
Ni -0.1103 -2.2716 1.8157
Ni 0.0000 0.0000 0.0000
Th 3.2055 -1.3637 0.8209
Th 4.1877 0.8346 3.6307
```

Output
- Space-group type: No. 129
- D(E_F): 3.29 states/eV per cell
- Calculated total energy: -0.56640 Ry per atom
- Energy relative to the elements, uncorrected: -1.162 eV per atom


# 5
Material: UNiAsN
Method: DFT, PBE-GGA
State: optimized geometry Values from VASP.

```
&SYSTEM
  ibrav = 0, nat = 8, ntyp = 4
/
ATOMIC_SPECIES
U 238.03 U.upf
N 14.01 N.upf
Ni 58.69 Ni.upf
As 74.92 As.upf
CELL_PARAMETERS angstrom
3.8481 0.0000 0.0000
0.0000 3.8481 0.0000
0.0000 0.0000 7.8763
ATOMIC_POSITIONS angstrom
U 1.9240 0.0000 5.1154
U 0.0000 1.9240 2.7609
N 0.0000 0.0000 3.9382
N 1.9240 1.9240 3.9382
Ni 0.0000 0.0000 0.0000
Ni 1.9240 1.9240 0.0000
As 1.9240 0.0000 1.3633
As 0.0000 1.9240 6.5130
```

Output
- Space-group type: No. 129
- D(E_F): 10.95 states/eV per cell
- Calculated total energy: -0.62536 Ry per atom
- Energy relative to the elements, uncorrected: -0.997 eV per atom


# 6
Material: YNi2AsN
Method: DFT, PBE-GGA
State: optimized geometry Values from VASP.

```
&SYSTEM
  ibrav = 0, nat = 10, ntyp = 4
/
ATOMIC_SPECIES
Y 88.91 Y.upf
Ni 58.69 Ni.upf
As 74.92 As.upf
N 14.01 N.upf
CELL_PARAMETERS angstrom
3.4693 0.0000 0.0000
-1.7347 5.8190 0.0000
0.0000 0.0000 6.8149
ATOMIC_POSITIONS angstrom
Y 0.0000 5.5135 5.1112
Y 1.7347 0.3055 1.7037
Ni 1.7347 3.9182 0.3274
Ni 0.0000 1.9008 3.7348
Ni 1.7347 3.9182 3.0801
Ni 0.0000 1.9008 6.4875
As 1.7347 2.7746 5.1112
As 0.0000 3.0444 1.7037
N 0.0000 0.0000 0.0000
N 0.0000 0.0000 3.4074
```

Output
- Space-group type: No. 63
- D(E_F): 7.21 states/eV per cell
- Calculated total energy: -0.51331 Ry per atom
- Energy relative to the elements, uncorrected: -0.784 eV per atom


# 7
Material: NpAsN
Method: DFT, PBE-GGA
State: optimized geometry Values from VASP.

```
&SYSTEM
  ibrav = 0, nat = 6, ntyp = 3
/
ATOMIC_SPECIES
As 74.92 As.upf
N 14.01 N.upf
Np 237.00 Np.upf
CELL_PARAMETERS angstrom
-2.8952 -1.1938 2.1750
-1.2106 -2.2379 -2.8398
4.1091 -5.4014 2.5036
ATOMIC_POSITIONS angstrom
As 2.2081 -7.0246 0.7549
As -2.2048 -1.8085 1.0839
N 1.0281 -3.5586 1.0856
N -1.0248 -5.2744 0.7532
Np -0.2274 -3.8229 -0.7306
Np 0.2306 -5.0102 2.5694
```

Output
- Space-group type: No. 129
- D(E_F): 13.39 states/eV per cell
- Calculated total energy: -0.69709 Ry per atom
- Energy relative to the elements, uncorrected: -0.846 eV per atom


# 8
Material: Np2AsN
Method: DFT, PBE-GGA
State: optimized geometry Values from VASP.

```
&SYSTEM
  ibrav = 0, nat = 4, ntyp = 3
/
ATOMIC_SPECIES
As 74.92 As.upf
Np 237.00 Np.upf
N 14.01 N.upf
CELL_PARAMETERS angstrom
-1.1427 -2.5835 1.4099
2.7337 -1.4921 -0.5185
2.3861 2.2604 6.0761
ATOMIC_POSITIONS angstrom
As 0.7955 -2.0378 0.4457
Np 0.6989 0.6621 1.7797
Np 1.6872 1.5983 4.2964
N 1.9885 -0.9076 3.4838
```

Output
- Space-group type: No. 123
- D(E_F): 7.42 states/eV per cell
- Calculated total energy: -0.74303 Ry per atom
- Energy relative to the elements, uncorrected: -0.395 eV per atom


# 9
Material: NpAsN
Method: DFT, PBE-GGA
State: optimized geometry Values from VASP.

```
&SYSTEM
  ibrav = 0, nat = 3, ntyp = 3
/
ATOMIC_SPECIES
Np 237.00 Np.upf
N 14.01 N.upf
As 74.92 As.upf
CELL_PARAMETERS angstrom
-1.6520 -0.7664 -2.4774
2.4676 -1.3678 -1.2224
-1.8791 -3.8134 4.3408
ATOMIC_POSITIONS angstrom
Np -0.2492 -3.2465 -0.7375
N -0.8126 -2.6955 1.3757
As -0.0017 -0.0056 0.0028
```

Output
- Space-group type: No. 107
- D(E_F): 4.37 states/eV per cell
- Calculated total energy: -0.66222 Ry per atom
- Energy relative to the elements, uncorrected: -0.371 eV per atom


# 10
Material: Np2AsN
Method: DFT, PBE-GGA
State: optimized geometry Values from VASP.

```
&SYSTEM
  ibrav = 0, nat = 8, ntyp = 3
/
ATOMIC_SPECIES
N 14.01 N.upf
As 74.92 As.upf
Np 237.00 Np.upf
CELL_PARAMETERS angstrom
-3.3289 -2.5465 1.0587
2.3340 -3.4798 -1.0634
3.0473 0.1249 8.0765
ATOMIC_POSITIONS angstrom
N 0.9314 -1.6900 3.2287
N 1.1209 -4.2113 4.8431
As -0.1361 -4.5548 1.6400
As 2.1884 -1.3466 6.4318
Np 2.5922 -3.2087 3.4491
Np -0.5398 -2.6926 4.6228
Np 1.8610 -4.4008 6.9012
Np 0.1914 -1.5005 1.1706
```

Output
- Space-group type: No. 12
- D(E_F): 22.01 states/eV per cell
- Calculated total energy: -0.77260 Ry per atom
- Energy relative to the elements, uncorrected: -0.798 eV per atom


# 11
Material: Np4As3N2
Method: DFT, PBE-GGA
State: optimized geometry Values from VASP.

```
&SYSTEM
  ibrav = 0, nat = 9, ntyp = 3
/
ATOMIC_SPECIES
Np 237.00 Np.upf
N 14.01 N.upf
As 74.92 As.upf
CELL_PARAMETERS angstrom
-0.1896 -3.7541 0.9235
2.8025 -3.3340 -4.8662
7.2100 -1.8066 2.2477
ATOMIC_POSITIONS angstrom
Np 5.0176 -6.7856 -2.2195
Np 8.3119 -6.6219 -0.8777
Np 1.5110 -2.2728 -0.8173
Np 4.8053 -2.1090 0.5245
N 2.5807 -1.8817 0.9921
N 7.2423 -7.0130 -2.6871
As 0.0000 0.0000 0.0000
As 3.3835 -4.4445 -1.1497
As 6.4395 -4.4501 -0.5453
```

Output
- Space-group type: No. 12
- D(E_F): 21.78 states/eV per cell
- Calculated total energy: -0.73880 Ry per atom
- Energy relative to the elements, uncorrected: -0.901 eV per atom


# 12
Material: NpAsN
Method: DFT, PBE-GGA
State: optimized geometry Values from VASP.

```
&SYSTEM
  ibrav = 0, nat = 12, ntyp = 3
/
ATOMIC_SPECIES
Np 237.00 Np.upf
As 74.92 As.upf
N 14.01 N.upf
CELL_PARAMETERS angstrom
0.0203 -6.6186 -1.0138
6.4952 -0.9454 1.3235
-4.5104 2.9298 5.3835
ATOMIC_POSITIONS angstrom
Np 1.9867 -4.8956 -0.3039
Np 0.6549 -2.6217 2.7211
Np 4.5288 -2.6683 0.6137
Np -1.8872 -4.8490 1.8035
As 2.2750 -4.4506 4.5004
As 2.8911 -0.7152 2.2381
As 2.3515 -1.0823 4.6238
As -0.2698 -0.1835 1.1929
N 1.3208 -3.7587 1.2086
N 4.5684 -4.2313 1.8704
N -0.9343 -2.2938 3.9003
N -0.9445 1.0155 4.4072
```

Output
- Space-group type: No. 70
- D(E_F): 34.94 states/eV per cell
- Calculated total energy: -0.65819 Ry per atom
- Energy relative to the elements, uncorrected: -0.317 eV per atom